MnTc2Sb | PBE | relaxed

Calculated values
For the spin magnetization, the calculation gives 3.18 μB/cell. As for the symmetry: No. 25.

abc: 3.0007 3.8923 5.4544
angles: 90.00 90.00 90.00
Last column: magnetic moment on the atom in μB.
Element x y z (fractional)
Mn 0.0000 0.0000 0.4821  3.10
Sb 0.5000 0.5000 0.7472  -0.03
Tc 0.0000 0.0000 0.0220  0.13
Tc 0.5000 0.5000 0.2487  -0.15



MnTc2Sb | PBE | relaxed

Calculated values
For the spin magnetization, the calculation gives 0.00 μB/cell. As for the symmetry: No. 99.

abc: 3.0588 3.0588 6.4262
angles: 90.00 90.00 90.00
Element x y z (fractional)
Mn 0.0000 0.0000 0.4970
Sb 0.5000 0.5000 0.7338
Tc 0.5000 0.5000 0.2590
Tc 0.0000 0.0000 0.0102



| no. | uncorrected formation energy (meV/atom) |
| --- | --- |
| 1 | 200 |
| 2 | 279 |